Record 1
Al2Ag | the Alexandria database | meta-GGA SCAN | single point on PBEsol structure; calculated total energy = -15.673 eV per atom; magnetic moment = 0.004 μB per formula unit; DFT formation energy = -14.2 kJ/mol of formula units; calculated volume = 16.2 Å³/atom
1.0
4.890 0.016 -0.018
-1.618 6.227 -0.012
-0.114 -2.517 6.401
Al Ag
8 4
Direct
0.970 0.129 0.710
0.623 0.124 0.373
0.795 0.627 0.544
0.139 0.626 0.877
0.030 0.871 0.290
0.377 0.876 0.627
0.205 0.373 0.456
0.861 0.374 0.123
0.551 0.371 0.782
0.711 0.874 0.953
0.289 0.126 0.047
0.449 0.629 0.218

Record 2
BaIrCl2 | the Alexandria database | meta-GGA SCAN | single point on PBEsol structure; calculated total energy = -32.435 eV per atom; magnetic moment = 0.072 μB per formula unit; polymorph energy (0 for the lowest one) = 16.6 kJ/mol of atoms; raw formation energy = -783 meV per atom; calculated volume = 29.2 Å³/atom
1.0
4.248 0.000 0.000
0.000 4.598 0.013
-2.124 0.011 5.980
Cl Ir Ba
2 1 1
Direct
0.244 0.748 0.488
0.023 0.252 0.045
0.480 0.252 0.961
0.753 0.248 0.506

Record 3
ZrScBe2 | the Alexandria database | meta-GGA SCAN | single point on PBEsol structure; calculated total energy = -13.212 eV per atom; magnetic moment = 0.902 μB per formula unit; polymorph energy (0 for the lowest one) = 26.9 kJ/mol of atoms; DFT formation energy = 76.9 kJ/mol of formula units; calculated volume = 15.3 Å³/atom
1.0
3.795 0.000 0.000
0.000 3.795 0.000
-1.897 -1.897 4.237
Sc Zr Be
1 1 2
Direct
0.500 0.500 0.000
0.250 0.750 0.500
0.750 0.250 0.500
0.000 0.000 0.000

Record 4
LaAlIr | the Alexandria database | meta-GGA SCAN | single point on PBEsol structure; calculated total energy = -41.389 eV per atom; magnetic moment = 0.000 μB per formula unit; DFT formation energy = -213.4 kJ/mol of formula units; calculated volume = 19.6 Å³/atom
1.0
-0.746 -1.207 -2.803
1.083 -2.802 0.918
-5.575 0.585 2.991
Ir La Al
1 1 1
Direct
0.641 0.641 0.283
0.322 0.322 0.644
0.037 0.037 0.073

Record 5
SrMg3 | the Alexandria database | meta-GGA SCAN | single point on PBEsol structure; calculated total energy = -9.303 eV per atom; magnetic moment = 0.000 μB per formula unit; DFT formation energy = -1.4 kJ/mol of formula units; calculated volume = 27.6 Å³/atom
1.0
-5.181 0.511 1.368
-3.854 -1.467 -3.460
-2.970 -4.382 0.979
Mg Sr
3 1
Direct
0.750 0.750 0.750
0.250 0.250 0.250
0.500 0.500 0.500
0.000 0.000 0.000

Record 6
AlTlHg2 | the Alexandria database | meta-GGA SCAN | single point on PBEsol structure; calculated total energy = -53.972 eV per atom; magnetic moment = 0.000 μB per formula unit; DFT formation energy = 53.6 kJ/mol of formula units; calculated volume = 22.9 Å³/atom
1.0
-0.262 -2.710 -1.972
3.328 -0.447 0.172
-0.967 -4.678 6.556
Al Tl Hg
1 1 2
Direct
0.500 0.500 0.777
0.000 0.000 0.513
0.000 0.000 0.977
0.500 0.500 0.233

Record 7
TlOs2N | the Alexandria database | meta-GGA SCAN | single point on PBEsol structure; calculated total energy = -54.057 eV per atom; magnetic moment = 0.009 μB per formula unit; raw formation energy = 2295 meV per atom; calculated volume = 14.3 Å³/atom
1.0
4.329 0.000 0.000
2.164 3.749 0.000
2.164 1.250 3.534
Os Tl N
2 1 1
Direct
0.750 0.750 0.750
0.250 0.250 0.250
0.500 0.500 0.500
0.000 0.000 0.000

Record 8
Bi12O16F5 | the Alexandria database | meta-GGA SCAN | single point on PBEsol structure; calculated total energy = -33.502 eV per atom; magnetic moment = 1.000 μB per formula unit; raw formation energy = -1370 meV per atom; calculated volume = 15.1 Å³/atom
1.0
3.735 0.000 0.000
0.000 10.324 -0.059
-1.867 -2.655 12.933
O Bi F
16 12 5
Direct
0.966 0.875 0.937
0.526 0.771 0.055
0.029 0.125 0.063
0.470 0.229 0.945
0.095 0.712 0.195
0.722 0.886 0.448
0.654 0.629 0.312
0.156 0.958 0.316
0.901 0.288 0.805
0.274 0.114 0.552
0.399 0.942 0.801
0.774 0.446 0.551
0.342 0.371 0.688
0.223 0.554 0.449
0.597 0.058 0.199
0.840 0.042 0.684
0.062 0.922 0.129
0.183 0.756 0.370
0.689 0.441 0.380
0.439 0.767 0.883
0.309 0.933 0.622
0.557 0.233 0.117
0.309 0.559 0.620
0.566 0.598 0.135
0.431 0.402 0.865
0.687 0.067 0.378
0.933 0.078 0.871
0.813 0.244 0.630
0.809 0.733 0.621
0.998 0.500 0.000
0.188 0.267 0.379
0.101 0.415 0.208
0.893 0.585 0.792